A plane-wave DFT calculation with PBE-GGA was carried out for crystalline NdSm2Rh3 at its relaxed geometry.

Summary:
The density of states at the Fermi level is 5.0 states/eV/f.u. The calculated total energy is -40.43 eV/cell. As for the magnetization: 0.000 μB/cell. The value obtained for the formation energy is -0.695 eV/atom.

abc: 4.9719 4.9719 6.0823
angles: 90.00 90.00 120.00
Space group P-3m1 (No. 164)
Inequivalent atoms, fractional coordinates:
Nd 0.0000 0.0000 0.0000
Sm 0.3333 0.6667 0.6657
Rh 0.0000 0.0000 0.5000
Rh 0.3333 0.6667 0.1704